[1]
GGA-PBE TcOsPt2, relaxed; formation enthalpy at 0 K = -0.09 eV/atom; space group = R3m (160); excess energy over the best structure of this formula in the dataset = 0.000 eV per atom
1.0
2.750 0.000 0.000
-1.375 2.381 0.000
0.000 0.000 27.522
Tc Os Pt
3 3 6
direct
0.000 0.000 0.000
0.333 0.667 0.667
0.667 0.333 0.333
0.000 0.000 0.743
0.333 0.667 0.409
0.667 0.333 0.076
0.000 0.000 0.250
0.000 0.000 0.495
0.333 0.667 0.161
0.333 0.667 0.916
0.667 0.333 0.583
0.667 0.333 0.828

=====

[2]
GGA-PBE TcOsPt, relaxed; formation enthalpy at 0 K = -0.03 eV/atom; space group = C2/m (12); excess energy over the best structure of this formula in the dataset = 0.053 eV per atom
1.0
10.104 0.000 0.000
0.000 2.758 0.000
-1.604 0.000 6.366
Tc Os Pt
4 4 4
direct
0.133 0.000 0.024
0.367 0.500 0.976
0.633 0.500 0.024
0.867 0.000 0.976
0.029 0.500 0.294
0.471 0.000 0.706
0.529 0.000 0.294
0.971 0.500 0.706
0.192 0.000 0.644
0.308 0.500 0.356
0.692 0.500 0.644
0.808 0.000 0.356

=====

[3]
GGA-PBE TcOsPt2, relaxed; formation enthalpy at 0 K = 0.08 eV/atom; space group = Pmmm (47); excess energy over the best structure of this formula in the dataset = 0.171 eV per atom
1.0
2.736 0.000 0.000
0.000 3.995 0.000
0.000 0.000 5.465
Tc Os Pt
1 1 2
direct
0.000 0.000 0.000
0.000 0.000 0.500
0.500 0.500 0.250
0.500 0.500 0.750

=====

[4]
GGA-PBE Tc2OsPt, relaxed; formation enthalpy at 0 K = 0.44 eV/atom; space group = Fm-3m (225); excess energy over the best structure of this formula in the dataset = 0.572 eV per atom
1.0
6.224 0.000 0.000
0.000 6.224 0.000
0.000 0.000 6.224
Tc Os Pt
8 4 4
direct
0.250 0.250 0.250
0.250 0.250 0.750
0.250 0.750 0.250
0.250 0.750 0.750
0.750 0.250 0.250
0.750 0.250 0.750
0.750 0.750 0.250
0.750 0.750 0.750
0.000 0.000 0.000
0.000 0.500 0.500
0.500 0.000 0.500
0.500 0.500 0.000
0.000 0.000 0.500
0.000 0.500 0.000
0.500 0.000 0.000
0.500 0.500 0.500

=====

[5]
GGA-PBE TcOsPt2, relaxed; formation enthalpy at 0 K = 0.07 eV/atom; space group = I4/mmm (139); excess energy over the best structure of this formula in the dataset = 0.165 eV per atom
1.0
3.862 0.000 0.000
0.000 3.862 0.000
0.000 0.000 8.008
Tc Os Pt
2 2 4
direct
0.000 0.000 0.000
0.500 0.500 0.500
0.000 0.000 0.500
0.500 0.500 0.000
0.000 0.500 0.250
0.000 0.500 0.750
0.500 0.000 0.250
0.500 0.000 0.750

=====

[6]
GGA-PBE TcOsPt2, relaxed; formation enthalpy at 0 K = 0.07 eV/atom; space group = R-3m (166); excess energy over the best structure of this formula in the dataset = 0.165 eV per atom
1.0
2.755 0.000 0.000
-1.378 2.386 0.000
0.000 0.000 27.276
Tc Os Pt
3 3 6
direct
0.000 0.000 0.000
0.333 0.667 0.667
0.667 0.333 0.333
0.000 0.000 0.500
0.333 0.667 0.167
0.667 0.333 0.833
0.000 0.000 0.251
0.000 0.000 0.749
0.333 0.667 0.416
0.333 0.667 0.917
0.667 0.333 0.083
0.667 0.333 0.584

=====

[7]
GGA-PBE Tc2OsPt, relaxed; formation enthalpy at 0 K = -0.03 eV/atom; space group = Cmmm (65); excess energy over the best structure of this formula in the dataset = 0.106 eV per atom
1.0
5.471 0.000 0.000
0.000 7.815 0.000
0.000 0.000 2.741
Tc Os Pt
4 2 2
direct
0.250 0.250 0.000
0.250 0.750 0.000
0.750 0.250 0.000
0.750 0.750 0.000
0.000 0.000 0.500
0.500 0.500 0.500
0.000 0.500 0.500
0.500 0.000 0.500

=====

[8]
GGA-PBE TcOsPt, relaxed; formation enthalpy at 0 K = -0.05 eV/atom; space group = Amm2 (38); excess energy over the best structure of this formula in the dataset = 0.029 eV per atom
1.0
4.428 0.000 0.000
0.000 8.293 0.000
0.000 0.000 4.798
Tc Os Pt
4 4 4
direct
0.000 0.000 0.000
0.000 0.500 0.500
0.500 0.000 0.335
0.500 0.500 0.835
0.000 0.166 0.498
0.000 0.334 0.998
0.000 0.666 0.998
0.000 0.834 0.498
0.500 0.167 0.833
0.500 0.333 0.333
0.500 0.667 0.333
0.500 0.833 0.833